VASP calculation (PBE-GGA) on an optimized crystal structure of Pr6Si2S3Br.

a = 18.3410 Å, b = 4.1966 Å, c = 8.5212 Å
α = 90.00°, β = 102.28°, γ = 90.00°
Space group C2/m (No. 12)
Symmetry-distinct sites (fractional):
Pr (0.0039, 0.0000, 0.2790) (multiplicity 4)
Pr (0.1671, 0.5000, 0.5840) (multiplicity 4)
Pr (0.1762, 0.5000, 0.0961) (multiplicity 4)
Si (0.1660, 0.0000, 0.3323) (multiplicity 4)
S (0.0000, 0.5000, 0.5000) (multiplicity 2)
S (0.1623, 0.0000, 0.8377) (multiplicity 4)
Br (0.0000, 0.5000, 0.0000) (multiplicity 2)

=====

VASP calculation (PBE-GGA) on an optimized crystal structure of Pr3SnSBr.

a = 8.2877 Å, b = 4.2634 Å, c = 10.7822 Å
α = 90.00°, β = 110.06°, γ = 90.00°
Space group P2_1/m (No. 11)
Symmetry-distinct sites (fractional):
Pr (0.1722, 0.2500, 0.1603) (multiplicity 2)
Pr (0.3126, 0.7500, 0.8872) (multiplicity 2)
Pr (0.3150, 0.7500, 0.5109) (multiplicity 2)
Sn (0.4864, 0.7500, 0.2518) (multiplicity 2)
S (0.0836, 0.2500, 0.8869) (multiplicity 2)
Br (0.0351, 0.2500, 0.3875) (multiplicity 2)

=====

VASP calculation (PBE-GGA) on an optimized crystal structure of TbPrSBr.

a = 6.7956 Å, b = 3.9291 Å, c = 8.0141 Å
α = 90.00°, β = 106.32°, γ = 90.00°
Space group Cm (No. 8)
Symmetry-distinct sites (fractional):
Tb (0.0000, 0.0000, 0.0000) (multiplicity 2)
Pr (0.1990, 0.0000, 0.5970) (multiplicity 2)
S (0.1041, 0.5000, 0.8122) (multiplicity 2)
Br (0.4253, 0.0000, 0.2764) (multiplicity 2)

=====

VASP calculation (PBE-GGA) on an optimized crystal structure of PrYSBr.

a = 6.7968 Å, b = 3.9295 Å, c = 8.0104 Å
α = 90.00°, β = 106.34°, γ = 90.00°
Space group Cm (No. 8)
Symmetry-distinct sites (fractional):
Pr (0.0000, 0.0000, 0.0000) (multiplicity 2)
Y (0.1992, 0.0000, 0.5979) (multiplicity 2)
S (0.0946, 0.5000, 0.7839) (multiplicity 2)
Br (0.2738, 0.5000, 0.3211) (multiplicity 2)

=====

VASP calculation (PBE-GGA) on an optimized crystal structure of Pr8Zn3SBr4.

a = 8.3555 Å, b = 8.3555 Å, c = 22.8084 Å
α = 90.00°, β = 90.00°, γ = 120.00°
Space group R-3m (No. 166, hexagonal axes)
Symmetry-distinct sites (fractional):
Pr (0.0000, 0.0000, 0.2434) (multiplicity 6)
Pr (0.0123, 0.5061, 0.2398) (multiplicity 18)
Zn (0.0000, 0.5000, 0.5000) (multiplicity 9)
S (0.0000, 0.0000, 0.5000) (multiplicity 3)
Br (0.0000, 0.0000, 0.0000) (multiplicity 3)
Br (0.0000, 0.5000, 0.0000) (multiplicity 9)

=====

VASP calculation (PBE-GGA) on an optimized crystal structure of Pr8ZnS3Br4.

a = 8.3125 Å, b = 8.3125 Å, c = 22.3264 Å
α = 90.00°, β = 90.00°, γ = 120.00°
Space group R-3m (No. 166, hexagonal axes)
Symmetry-distinct sites (fractional):
Pr (0.0000, 0.0000, 0.2326) (multiplicity 6)
Pr (0.0082, 0.5041, 0.7646) (multiplicity 18)
Zn (0.0000, 0.0000, 0.5000) (multiplicity 3)
S (0.0000, 0.5000, 0.5000) (multiplicity 9)
Br (0.0000, 0.0000, 0.0000) (multiplicity 3)
Br (0.0000, 0.5000, 0.0000) (multiplicity 9)

=====

VASP calculation (PBE-GGA) on an optimized crystal structure of Pr4ZnSBr2.

a = 7.1864 Å, b = 4.1195 Å, c = 8.0016 Å
α = 90.00°, β = 107.91°, γ = 90.00°
Space group P2/m (No. 10)
Symmetry-distinct sites (fractional):
Pr (0.2257, 0.0000, 0.2092) (multiplicity 2)
Pr (0.2483, 0.5000, 0.7814) (multiplicity 2)
Zn (0.5000, 0.0000, 0.0000) (multiplicity 1)
S (0.0000, 0.5000, 0.0000) (multiplicity 1)
Br (0.0000, 0.0000, 0.5000) (multiplicity 1)
Br (0.5000, 0.5000, 0.5000) (multiplicity 1)

=====

VASP calculation (PBE-GGA) on an optimized crystal structure of Pr2SbBr.

a = 7.7059 Å, b = 7.7059 Å, c = 7.7059 Å
α = 90.00°, β = 90.00°, γ = 90.00°
Space group Fm-3m (No. 225)
Symmetry-distinct sites (fractional):
Pr (0.2500, 0.2500, 0.2500) (multiplicity 8)
Sb (0.0000, 0.0000, 0.0000) (multiplicity 4)
Br (0.0000, 0.0000, 0.5000) (multiplicity 4)

=====

VASP calculation (PBE-GGA) on an optimized crystal structure of Pr2SbBr.

a = 7.9181 Å, b = 4.3418 Å, c = 14.6519 Å
α = 90.00°, β = 90.00°, γ = 90.00°
Space group Pnma (No. 62)
Symmetry-distinct sites (fractional):
Pr (0.1553, 0.2500, 0.2353) (multiplicity 4)
Pr (0.2002, 0.7500, 0.9993) (multiplicity 4)
Sb (0.1010, 0.2500, 0.8485) (multiplicity 4)
Br (0.0716, 0.7500, 0.5935) (multiplicity 4)

=====

VASP calculation (PBE-GGA) on an optimized crystal structure of Pr2SbBr2.

a = 4.4221 Å, b = 4.4221 Å, c = 32.6213 Å
α = 90.00°, β = 90.00°, γ = 120.00°
Space group R-3m (No. 166, hexagonal axes)
Symmetry-distinct sites (fractional):
Pr (0.0000, 0.0000, 0.1110) (multiplicity 6)
Sb (0.0000, 0.0000, 0.5000) (multiplicity 3)
Br (0.0000, 0.0000, 0.2764) (multiplicity 6)

=====

VASP calculation (PBE-GGA) on an optimized crystal structure of Pr3Sb2Br.

a = 9.0788 Å, b = 12.7723 Å, c = 27.1175 Å
α = 90.00°, β = 90.00°, γ = 90.00°
Space group Fddd (No. 70, origin choice 2)
Symmetry-distinct sites (fractional):
Pr (0.1088, 0.3750, 0.3750) (multiplicity 16)
Pr (0.1159, 0.3680, 0.2052) (multiplicity 32)
Sb (0.1250, 0.1250, 0.0398) (multiplicity 16)
Sb (0.1250, 0.1250, 0.3772) (multiplicity 16)
Br (0.1250, 0.1250, 0.5423) (multiplicity 16)

=====

VASP calculation (PBE-GGA) on an optimized crystal structure of Pr3Sb2Br2.

a = 14.8202 Å, b = 4.4671 Å, c = 7.8312 Å
α = 90.00°, β = 103.75°, γ = 90.00°
Space group C2/m (No. 12)
Symmetry-distinct sites (fractional):
Pr (0.0000, 0.0000, 0.0000) (multiplicity 2)
Pr (0.2437, 0.0000, 0.7704) (multiplicity 4)
Sb (0.1137, 0.5000, 0.8538) (multiplicity 4)
Br (0.1401, 0.0000, 0.3658) (multiplicity 4)

=====

VASP calculation (PBE-GGA) on an optimized crystal structure of Pr3SbBr3.

a = 7.4976 Å, b = 7.4976 Å, c = 32.6943 Å
α = 90.00°, β = 90.00°, γ = 120.00°
Space group R-3 (No. 148, hexagonal axes)
Symmetry-distinct sites (fractional):
Pr (0.0000, 0.3307, 0.4456) (multiplicity 18)
Sb (0.0000, 0.0000, 0.1667) (multiplicity 6)
Br (0.0000, 0.3358, 0.6095) (multiplicity 18)

=====

VASP calculation (PBE-GGA) on an optimized crystal structure of Pr3SbBr7.

a = 9.0190 Å, b = 9.0190 Å, c = 6.7632 Å
α = 90.00°, β = 90.00°, γ = 120.00°
Space group P3m1 (No. 156)
Symmetry-distinct sites (fractional):
Pr (0.1683, 0.3366, 0.0000) (multiplicity 3)
Sb (0.3333, 0.6667, 0.2639) (multiplicity 1)
Br (0.0000, 0.0000, 0.7533) (multiplicity 1)
Br (0.0326, 0.5163, 0.7596) (multiplicity 3)
Br (0.3122, 0.1561, 0.2184) (multiplicity 3)

=====

VASP calculation (PBE-GGA) on an optimized crystal structure of Pr2SbBr.

a = 3.8824 Å, b = 3.8824 Å, c = 7.6815 Å
α = 90.00°, β = 90.00°, γ = 90.00°
Space group P4/mmm (No. 123)
Symmetry-distinct sites (fractional):
Pr (0.0000, 0.0000, 0.2335) (multiplicity 2)
Sb (0.5000, 0.5000, 0.0000) (multiplicity 1)
Br (0.5000, 0.5000, 0.5000) (multiplicity 1)

=====

VASP calculation (PBE-GGA) on an optimized crystal structure of Pr3Sb2Br.

a = 4.5255 Å, b = 6.3313 Å, c = 13.6282 Å
α = 90.00°, β = 90.00°, γ = 90.00°
Space group Immm (No. 71)
Symmetry-distinct sites (fractional):
Pr (0.0000, 0.0000, 0.0000) (multiplicity 2)
Pr (0.0000, 0.0000, 0.3211) (multiplicity 4)
Sb (0.0000, 0.5000, 0.3372) (multiplicity 4)
Br (0.0000, 0.5000, 0.0000) (multiplicity 2)

=====

VASP calculation (PBE-GGA) on an optimized crystal structure of Pr2SbBr3.

a = 18.1501 Å, b = 4.6128 Å, c = 14.4090 Å
α = 90.00°, β = 126.51°, γ = 90.00°
Space group C2/m (No. 12)
Symmetry-distinct sites (fractional):
Pr (0.1099, 0.0000, 0.4528) (multiplicity 4)
Pr (0.1390, 0.5000, 0.8305) (multiplicity 4)
Sb (0.1037, 0.0000, 0.6668) (multiplicity 4)
Br (0.0593, 0.5000, 0.2764) (multiplicity 4)
Br (0.1555, 0.0000, 0.9940) (multiplicity 4)
Br (0.2388, 0.5000, 0.5940) (multiplicity 4)

=====

VASP calculation (PBE-GGA) on an optimized crystal structure of Pr2SbBr.

a = 4.5590 Å, b = 4.5590 Å, c = 21.1717 Å
α = 90.00°, β = 90.00°, γ = 120.00°
Space group R-3m (No. 166, hexagonal axes)
Symmetry-distinct sites (fractional):
Pr (0.0000, 0.0000, 0.2450) (multiplicity 6)
Sb (0.0000, 0.0000, 0.5000) (multiplicity 3)
Br (0.0000, 0.0000, 0.0000) (multiplicity 3)

=====

VASP calculation (PBE-GGA) on an optimized crystal structure of Pr2SbBr.

a = 4.3712 Å, b = 4.3712 Å, c = 23.4628 Å
α = 90.00°, β = 90.00°, γ = 120.00°
Space group R3m (No. 160, hexagonal axes)
Symmetry-distinct sites (fractional):
Pr (0.0000, 0.0000, 0.0000) (multiplicity 3)
Pr (0.0000, 0.0000, 0.1819) (multiplicity 3)
Sb (0.0000, 0.0000, 0.5919) (multiplicity 3)
Br (0.0000, 0.0000, 0.4230) (multiplicity 3)

=====

VASP calculation (PBE-GGA) on an optimized crystal structure of Pr4Sb3Br.

a = 6.3738 Å, b = 6.3738 Å, c = 12.8187 Å
α = 90.00°, β = 90.00°, γ = 90.00°
Space group I4/mmm (No. 139)
Symmetry-distinct sites (fractional):
Pr (0.0000, 0.0000, 0.2420) (multiplicity 4)
Pr (0.0000, 0.5000, 0.0000) (multiplicity 4)
Sb (0.0000, 0.0000, 0.0000) (multiplicity 2)
Sb (0.0000, 0.5000, 0.2500) (multiplicity 4)
Br (0.0000, 0.0000, 0.5000) (multiplicity 2)

=====

VASP calculation (PBE-GGA) on an optimized crystal structure of Pr4SiSbBr2.

a = 7.6782 Å, b = 4.3849 Å, c = 7.7870 Å
α = 90.00°, β = 109.27°, γ = 90.00°
Space group P2/m (No. 10)
Symmetry-distinct sites (fractional):
Pr (0.2166, 0.0000, 0.2192) (multiplicity 2)
Pr (0.2244, 0.5000, 0.7670) (multiplicity 2)
Si (0.0000, 0.5000, 0.0000) (multiplicity 1)
Sb (0.0000, 0.0000, 0.5000) (multiplicity 1)
Br (0.5000, 0.0000, 0.0000) (multiplicity 1)
Br (0.5000, 0.5000, 0.5000) (multiplicity 1)

=====

VASP calculation (PBE-GGA) on an optimized crystal structure of PrSmSbBr.

a = 7.6397 Å, b = 7.6397 Å, c = 7.6397 Å
α = 90.00°, β = 90.00°, γ = 90.00°
Space group F-43m (No. 216)
Symmetry-distinct sites (fractional):
Pr (0.0000, 0.0000, 0.0000) (multiplicity 4)
Sm (0.0000, 0.0000, 0.5000) (multiplicity 4)
Sb (0.2500, 0.2500, 0.2500) (multiplicity 4)
Br (0.2500, 0.2500, 0.7500) (multiplicity 4)

=====

VASP calculation (PBE-GGA) on an optimized crystal structure of Pr3SbTeBr.

a = 9.3299 Å, b = 4.3712 Å, c = 10.4866 Å
α = 90.00°, β = 92.31°, γ = 90.00°
Space group P2_1/m (No. 11)
Symmetry-distinct sites (fractional):
Pr (0.1156, 0.2500, 0.3420) (multiplicity 2)
Pr (0.1516, 0.2500, 0.9392) (multiplicity 2)
Pr (0.3764, 0.7500, 0.6358) (multiplicity 2)
Sb (0.1304, 0.2500, 0.6420) (multiplicity 2)
Te (0.3711, 0.7500, 0.3257) (multiplicity 2)
Br (0.3698, 0.7500, 0.9265) (multiplicity 2)

=====

Number 1: uncorrected formation energy -17.76 eV/f.u.. Number 2: uncorrected formation energy -7.83 eV/f.u.. Number 3: uncorrected formation energy -6.13 eV/f.u.. Number 4: uncorrected formation energy -6.12 eV/f.u.. Number 5: uncorrected formation energy -15.19 eV/f.u.. Number 6: uncorrected formation energy -22.39 eV/f.u.. Number 7: uncorrected formation energy -9.43 eV/f.u.. Number 8: uncorrected formation energy -4.56 eV/f.u.. Number 9: uncorrected formation energy -5.14 eV/f.u.. Number 10: uncorrected formation energy -7.69 eV/f.u.. Number 11: uncorrected formation energy -7.35 eV/f.u.. Number 12: uncorrected formation energy -9.21 eV/f.u.. Number 13: uncorrected formation energy -9.77 eV/f.u.. Number 14: uncorrected formation energy -17.14 eV/f.u.. Number 15: uncorrected formation energy -4.27 eV/f.u.. Number 16: uncorrected formation energy -7.33 eV/f.u.. Number 17: uncorrected formation energy -9.11 eV/f.u.. Number 18: uncorrected formation energy -4.76 eV/f.u.. Number 19: uncorrected formation energy -4.67 eV/f.u.. Number 20: uncorrected formation energy -9.79 eV/f.u.. Number 21: uncorrected formation energy -9.26 eV/f.u.. Number 22: uncorrected formation energy -4.42 eV/f.u.. Number 23: uncorrected formation energy -7.07 eV/f.u..